No. 1
Entry from Alexandria via LeMat-Bulk: an optimized crystal structure of AcSm2DyEr (PBE).

```
AcSm2DyEr
1.0
-5.572 -1.815 -0.200
2.982 -9.299 1.307
-1.087 2.705 5.714
Ac Sm Dy Er
2 4 2 2
direct
0.250 0.106 0.969 Ac
0.750 0.894 0.031 Ac
0.750 0.698 0.432 Sm
0.250 0.302 0.568 Sm
0.750 0.497 0.836 Sm
0.250 0.503 0.164 Sm
0.250 0.894 0.372 Dy
0.750 0.106 0.628 Dy
0.250 0.689 0.756 Er
0.750 0.311 0.244 Er
```

As for the density of states at the Fermi level: 8.70 states/eV/f.u. Its space group is No. 11. The formation energy comes out at 45 meV per atom. Its total energy is -4.498 eV per atom.


No. 2
Entry from Alexandria via LeMat-Bulk: an optimized crystal structure of AcSmDyEr (PBE).

```
AcSmDyEr
1.0
-3.949 -4.303 0.038
0.680 -4.618 -3.511
1.377 -5.208 2.258
Ac Dy Sm Er
1 1 1 1
direct
0.750 0.750 0.750 Ac
0.000 0.000 0.000 Dy
0.250 0.250 0.250 Sm
0.500 0.500 0.500 Er
```

The calculation puts the energy above the most stable polymorph in this dataset at 0 meV per atom. As for the density of states at the Fermi level: 7.14 states/eV/f.u. Its space group is No. 216. The formation energy comes out at 119 meV per atom. Its total energy is -4.379 eV per atom.


No. 3
Entry from Alexandria via LeMat-Bulk: an optimized crystal structure of AcSm4DyEr2 (PBE).

```
AcSm4DyEr2
1.0
5.951 0.000 0.000
0.000 5.723 1.575
0.000 3.675 9.018
Ac Sm Dy Er
1 4 1 2
direct
0.500 0.500 0.000 Ac
0.000 0.769 0.731 Sm
0.000 0.231 0.269 Sm
0.500 0.730 0.270 Sm
0.500 0.270 0.730 Sm
0.000 0.500 0.500 Dy
0.000 0.000 0.000 Er
0.500 0.000 0.500 Er
```

As for the density of states at the Fermi level: 17.36 states/eV/f.u. Its space group is No. 47. The formation energy comes out at 131 meV per atom. Its total energy is -4.458 eV per atom.


No. 4
Entry from Alexandria via LeMat-Bulk: an optimized crystal structure of AcSm2Dy5Er (PBE).

```
AcSm2Dy5Er
1.0
8.882 0.000 0.000
0.000 8.882 0.000
-4.441 -4.441 7.695
Ac Sm Dy Er
2 4 10 2
direct
0.250 0.250 0.500 Ac
0.750 0.750 0.500 Ac
0.116 0.384 0.000 Sm
0.616 0.116 0.000 Sm
0.384 0.884 0.000 Sm
0.884 0.616 0.000 Sm
0.926 0.426 0.263 Dy
0.663 0.163 0.737 Dy
0.074 0.574 0.737 Dy
0.163 0.074 0.737 Dy
0.574 0.663 0.737 Dy
0.837 0.926 0.263 Dy
0.426 0.337 0.263 Dy
0.337 0.837 0.263 Dy
0.500 0.500 0.000 Dy
0.000 0.000 0.000 Dy
0.250 0.750 0.500 Er
0.750 0.250 0.500 Er
```

As for the density of states at the Fermi level: 9.64 states/eV/f.u. Its space group is No. 140. The formation energy comes out at 268 meV per atom. Its total energy is -4.301 eV per atom.


No. 5
Entry from Alexandria via LeMat-Bulk: an optimized crystal structure of AcSmDyEr (PBE).

```
AcSmDyEr
1.0
3.523 0.000 0.000
0.000 6.782 1.817
0.000 -1.483 5.533
Ac Sm Dy Er
1 1 1 1
direct
0.000 0.456 0.516 Ac
0.000 0.172 0.016 Sm
0.000 0.938 0.516 Dy
0.500 0.715 0.016 Er
```

The calculation puts the energy above the most stable polymorph in this dataset at 102 meV per atom. As for the density of states at the Fermi level: 8.07 states/eV/f.u. Its space group is No. 25. The formation energy comes out at 222 meV per atom. Its total energy is -4.276 eV per atom.


No. 6
Entry from Alexandria via LeMat-Bulk: an optimized crystal structure of AcSm3DyEr (PBE).

```
AcSm3DyEr
1.0
5.453 0.000 0.000
-2.726 11.213 2.609
0.000 -0.595 7.079
Ac Sm Dy Er
2 6 2 2
direct
0.373 0.746 0.979 Ac
0.627 0.254 0.021 Ac
0.822 0.644 0.283 Sm
0.775 0.550 0.807 Sm
0.478 0.956 0.283 Sm
0.225 0.450 0.193 Sm
0.522 0.044 0.717 Sm
0.178 0.356 0.717 Sm
0.075 0.150 0.381 Dy
0.925 0.850 0.619 Dy
0.667 0.333 0.476 Er
0.333 0.667 0.524 Er
```

As for the density of states at the Fermi level: 9.28 states/eV/f.u. Its space group is No. 12. The formation energy comes out at 213 meV per atom. Its total energy is -4.359 eV per atom.


No. 7
Entry from Alexandria via LeMat-Bulk: an optimized crystal structure of AcTb5Dy2Er (PBE).

```
AcTb5Dy2Er
1.0
9.061 0.000 0.000
0.000 9.061 0.000
-4.530 -4.530 7.441
Ac Tb Dy Er
2 10 4 2
direct
0.250 0.250 0.500 Ac
0.750 0.750 0.500 Ac
0.925 0.425 0.253 Tb
0.671 0.171 0.747 Tb
0.075 0.575 0.747 Tb
0.171 0.075 0.747 Tb
0.575 0.671 0.747 Tb
0.829 0.925 0.253 Tb
0.425 0.329 0.253 Tb
0.329 0.829 0.253 Tb
0.500 0.500 0.000 Tb
0.000 0.000 0.000 Tb
0.112 0.388 0.000 Dy
0.612 0.112 0.000 Dy
0.388 0.888 0.000 Dy
0.888 0.612 0.000 Dy
0.250 0.750 0.500 Er
0.750 0.250 0.500 Er
```

As for the density of states at the Fermi level: 12.46 states/eV/f.u. Its space group is No. 140. The formation energy comes out at 286 meV per atom. Its total energy is -4.273 eV per atom.


No. 8
Entry from Alexandria via LeMat-Bulk: an optimized crystal structure of AcTb2Dy5Er (PBE).

```
AcTb2Dy5Er
1.0
8.971 0.000 0.000
0.000 8.971 0.000
-4.485 -4.485 7.503
Ac Tb Dy Er
2 4 10 2
direct
0.250 0.250 0.500 Ac
0.750 0.750 0.500 Ac
0.113 0.387 0.000 Tb
0.613 0.113 0.000 Tb
0.387 0.887 0.000 Tb
0.887 0.613 0.000 Tb
0.925 0.425 0.257 Dy
0.668 0.168 0.743 Dy
0.075 0.575 0.743 Dy
0.168 0.075 0.743 Dy
0.575 0.668 0.743 Dy
0.832 0.925 0.257 Dy
0.425 0.332 0.257 Dy
0.332 0.832 0.257 Dy
0.500 0.500 0.000 Dy
0.000 0.000 0.000 Dy
0.250 0.750 0.500 Er
0.750 0.250 0.500 Er
```

As for the density of states at the Fermi level: 11.25 states/eV/f.u. Its space group is No. 140. The formation energy comes out at 282 meV per atom. Its total energy is -4.267 eV per atom.


No. 9
Entry from Alexandria via LeMat-Bulk: an optimized crystal structure of AcTbDyEr (PBE).

```
AcTbDyEr
1.0
-0.393 -0.950 3.528
3.360 0.435 -1.422
-1.042 11.873 1.169
Ac Tb Dy Er
1 1 1 1
direct
0.969 0.383 0.368 Ac
0.478 0.137 0.630 Tb
0.128 0.962 0.104 Dy
0.302 0.549 0.867 Er
```

The calculation puts the energy above the most stable polymorph in this dataset at 0 meV per atom. As for the density of states at the Fermi level: 5.41 states/eV/f.u. Its space group is No. 160. The formation energy comes out at 67 meV per atom. Its total energy is -4.409 eV per atom.


No. 10
Entry from Alexandria via LeMat-Bulk: an optimized crystal structure of AcTb6Dy2Er (PBE).

```
AcTb6Dy2Er
1.0
9.097 -1.980 -2.055
0.978 8.622 -2.051
0.978 -2.370 8.540
Ac Tb Dy Er
2 12 4 2
direct
0.250 0.972 0.028 Ac
0.750 0.028 0.972 Ac
0.057 0.130 0.751 Tb
0.443 0.249 0.870 Tb
0.943 0.870 0.249 Tb
0.557 0.751 0.130 Tb
0.317 0.987 0.443 Tb
0.183 0.557 0.013 Tb
0.683 0.013 0.557 Tb
0.817 0.443 0.987 Tb
0.117 0.712 0.492 Tb
0.383 0.508 0.288 Tb
0.883 0.288 0.508 Tb
0.617 0.492 0.712 Tb
0.452 0.797 0.683 Dy
0.048 0.317 0.203 Dy
0.548 0.203 0.317 Dy
0.952 0.683 0.797 Dy
0.250 0.412 0.588 Er
0.750 0.588 0.412 Er
```

As for the density of states at the Fermi level: 14.50 states/eV/f.u. Its space group is No. 15. The formation energy comes out at 128 meV per atom. Its total energy is -4.438 eV per atom.